A plane-wave DFT calculation with SCAN was carried out for a crystal of TlS2IN relaxed with PBEsol.

Results
Formation energy (no corrections) = 1.33 eV per atom
Density = 5877 kg/m³

```
data_TlS2IN
_chemical_formula_sum 'Tl1 S2 I1 N1'
_cell_length_a 5.2193
_cell_length_b 5.2193
_cell_length_c 4.2466
_cell_angle_alpha 90.00
_cell_angle_beta 90.00
_cell_angle_gamma 90.00
_symmetry_space_group_name_H-M 'P 4/m m m'
_symmetry_Int_Tables_number 123
_symmetry_space_group_name_Hall '-P 4 2'
loop_
_atom_site_label
_atom_site_fract_x
_atom_site_fract_y
_atom_site_fract_z
Tl1 0.0000 0.0000 0.0000
S1 0.0000 0.5000 0.0000
I1 0.5000 0.5000 0.5000
N1 0.0000 0.0000 0.5000
```


A plane-wave DFT calculation with SCAN was carried out for a crystal of DyTlW2O8 relaxed with PBEsol.

Results
Formation energy (no corrections) = -2.55 eV per atom
Density = 9081 kg/m³

```
data_DyTlW2O8
_chemical_formula_sum 'Dy4 Tl4 W8 O32'
_cell_length_a 10.6609
_cell_length_b 10.4626
_cell_length_c 7.4493
_cell_angle_alpha 90.00
_cell_angle_beta 130.59
_cell_angle_gamma 90.00
_symmetry_space_group_name_H-M 'C 1 2/c 1'
_symmetry_Int_Tables_number 15
loop_
_symmetry_equiv_pos_as_xyz
'x,y,z'
'-x,-y,-z'
'-x,y,-z+1/2'
'x,-y,z+1/2'
'x+1/2,y+1/2,z'
'-x+1/2,-y+1/2,-z'
'-x+1/2,y+1/2,-z+1/2'
'x+1/2,-y+1/2,z+1/2'
loop_
_atom_site_label
_atom_site_fract_x
_atom_site_fract_y
_atom_site_fract_z
Dy1 0.0000 0.2280 0.2500
Tl1 0.0000 0.2088 0.7500
W1 0.1974 0.4972 0.2304
O1 0.0230 0.3916 0.4707
O2 0.1261 0.0836 0.1878
O3 0.1912 0.4292 0.9465
O4 0.2243 0.1589 0.6241
```


A plane-wave DFT calculation with SCAN was carried out for a crystal of NaSn2As2 relaxed with PBEsol.

Results
DFT formation energy = -271 meV per atom
Energy above the most stable polymorph in this dataset = 0 meV/atom
Density = 5385 kg/m³

```
data_NaSn2As2
_chemical_formula_sum 'Na3 Sn6 As6'
_cell_length_a 3.9987
_cell_length_b 3.9987
_cell_length_c 27.4079
_cell_angle_alpha 90.00
_cell_angle_beta 90.00
_cell_angle_gamma 120.00
_symmetry_space_group_name_H-M 'R -3 m'
_symmetry_Int_Tables_number 166
_symmetry_space_group_name_Hall '-R 3 2"'
loop_
_atom_site_label
_atom_site_fract_x
_atom_site_fract_y
_atom_site_fract_z
Na1 0.0000 0.0000 0.0000
Sn1 0.0000 0.0000 0.2100
As1 0.0000 0.0000 0.4068
```


A plane-wave DFT calculation with SCAN was carried out for a crystal of LiSc relaxed with PBEsol.

Results
DFT formation energy = 213 meV per atom
Energy above the most stable polymorph in this dataset = 123 meV/atom
Density = 2013 kg/m³

```
data_LiSc
_chemical_formula_sum 'Li2 Sc2'
_cell_length_a 3.0240
_cell_length_b 4.7606
_cell_length_c 6.1356
_cell_angle_alpha 90.00
_cell_angle_beta 104.28
_cell_angle_gamma 90.00
_symmetry_space_group_name_H-M 'P 1 21/m 1'
_symmetry_Int_Tables_number 11
loop_
_symmetry_equiv_pos_as_xyz
'x,y,z'
'-x,-y,-z'
'-x,y+1/2,-z'
'x,-y+1/2,z'
loop_
_atom_site_label
_atom_site_fract_x
_atom_site_fract_y
_atom_site_fract_z
Li1 0.0152 0.2500 0.1290
Sc1 0.3274 0.2500 0.6356
```


no.,V (Å³/atom),size of the total moment (μB per atom),raw total energy (eV per atom)
1,23.14,0.47,-26.197
2,13.14,0.00,-28.331
3,25.30,0.00,-23.559
4,21.40,0.18,-8.100